BeOs2Ru | PBEsol | relaxed

a = 2.686 Å, b = 3.848 Å, c = 5.070 Å
α = 90.00°, β = 104.79°, γ = 90.00°
Sites, in units of the cell vectors:
Be  0.000  0.000  0.000
Os  0.179  0.500  0.279
Os  0.799  0.000  0.522
Ru  0.441  0.500  0.819

N(E_F): 2.6 states/eV per cell
E_form: 0.093 eV per atom
VASP energy: -9.558 eV/atom
space-group type: Pm, No. 6

Be2ZnRu | PBEsol | relaxed

a = 2.576 Å, b = 2.576 Å, c = 7.551 Å
α = 90.00°, β = 90.00°, γ = 113.31°
Sites, in units of the cell vectors:
Be  0.000  0.000  0.234
Be  0.000  0.000  0.766
Zn  0.500  0.500  0.500
Ru  0.500  0.500  0.000

N(E_F): 1.9 states/eV per cell
E_form: 0.127 eV per atom
VASP energy: -4.812 eV/atom
space-group type: Cmmm, No. 65

SrTaSb2I | PBEsol | relaxed

a = 5.801 Å, b = 5.801 Å, c = 5.768 Å
α = 90.00°, β = 90.00°, γ = 90.00°
Sites, in units of the cell vectors:
Sr  0.000  0.000  0.000
Ta  0.500  0.500  0.500
Sb  0.000  0.500  0.000
Sb  0.500  0.000  0.000
I  0.000  0.000  0.500

N(E_F): 8.8 states/eV per cell
E_form (uncorrected): 1.533 eV per atom
VASP energy: -3.522 eV/atom
space-group type: P4/mmm, No. 123

AlCrCdAg2 | PBEsol | relaxed

a = 5.000 Å, b = 5.000 Å, c = 5.002 Å
α = 90.00°, β = 90.00°, γ = 90.00°
Sites, in units of the cell vectors:
Al  0.000  0.000  0.000
Cr  0.500  0.500  0.000
Cd  0.500  0.500  0.500
Ag  0.000  0.500  0.500
Ag  0.500  0.000  0.500

N(E_F): 2.8 states/eV per cell
E_form: 1.183 eV per atom
VASP energy: -3.248 eV/atom
space-group type: P4/mmm, No. 123

TaNiSe2N | PBEsol | relaxed

a = 4.784 Å, b = 4.784 Å, c = 3.362 Å
α = 90.00°, β = 90.00°, γ = 90.00°
Sites, in units of the cell vectors:
Ta  0.000  0.000  0.000
Ni  0.500  0.500  0.500
Se  0.000  0.500  0.500
Se  0.500  0.000  0.500
N  0.500  0.500  0.000

N(E_F): 5.1 states/eV per cell
E_form (uncorrected): 0.557 eV per atom
VASP energy: -6.430 eV/atom
space-group type: P4/mmm, No. 123

Tm2Ni2Sn | PBEsol | relaxed

a = 7.167 Å, b = 7.167 Å, c = 3.563 Å
α = 90.00°, β = 90.00°, γ = 90.00°
Sites, in units of the cell vectors:
Tm  0.174  0.326  0.000
Tm  0.326  0.826  0.000
Tm  0.674  0.174  0.000
Tm  0.826  0.674  0.000
Ni  0.121  0.621  0.500
Ni  0.379  0.121  0.500
Ni  0.621  0.879  0.500
Ni  0.879  0.379  0.500
Sn  0.000  0.000  0.500
Sn  0.500  0.500  0.500

N(E_F): 5.9 states/eV per cell
E_form: -0.645 eV per atom
VASP energy: -5.920 eV/atom
space-group type: P4/mbm, No. 127

Rb2NaCaCr | PBEsol | relaxed

a = 7.438 Å, b = 7.438 Å, c = 5.748 Å
α = 90.00°, β = 90.00°, γ = 90.00°
Sites, in units of the cell vectors:
Rb  0.000  0.500  0.000
Rb  0.500  0.000  0.000
Na  0.000  0.000  0.500
Ca  0.500  0.500  0.000
Cr  0.500  0.500  0.500

N(E_F): 4.3 states/eV per cell
E_form: 0.942 eV per atom
VASP energy: -2.223 eV/atom
space-group type: P4/mmm, No. 123

RbCdMoBr2 | PBEsol | relaxed

a = 5.710 Å, b = 5.710 Å, c = 5.475 Å
α = 90.00°, β = 90.00°, γ = 90.00°
Sites, in units of the cell vectors:
Rb  0.000  0.000  0.000
Cd  0.500  0.500  0.500
Mo  0.500  0.500  0.000
Br  0.000  0.500  0.500
Br  0.500  0.000  0.500

N(E_F): 0.9 states/eV per cell
E_form (uncorrected): 0.395 eV per atom
VASP energy: -3.151 eV/atom
space-group type: P4/mmm, No. 123

AlPIr2 | PBEsol | relaxed

a = 2.839 Å, b = 4.089 Å, c = 4.820 Å
α = 90.00°, β = 90.00°, γ = 90.00°
Sites, in units of the cell vectors:
Al  0.000  0.000  0.000
P  0.500  0.000  0.500
Ir  0.000  0.500  0.500
Ir  0.500  0.500  0.000

N(E_F): 2.3 states/eV per cell
E_form: -0.125 eV per atom
VASP energy: -7.507 eV/atom
space-group type: Pmmm, No. 47

Si4MoAs | PBEsol | relaxed

a = 4.952 Å, b = 4.952 Å, c = 4.952 Å
α = 60.00°, β = 60.00°, γ = 60.00°
Sites, in units of the cell vectors:
Si  0.376  0.376  0.376
Si  0.376  0.376  0.873
Si  0.376  0.873  0.376
Si  0.873  0.376  0.376
Mo  0.000  0.000  0.000
As  0.750  0.750  0.750

N(E_F): 3.7 states/eV per cell
E_form (uncorrected): 0.418 eV per atom
VASP energy: -6.226 eV/atom
space-group type: F-43m, No. 216

CrCo2 | PBEsol | relaxed

a = 4.659 Å, b = 4.659 Å, c = 5.806 Å
α = 103.84°, β = 103.84°, γ = 30.28°
Sites, in units of the cell vectors:
Cr  0.191  0.191  0.145
Cr  0.809  0.809  0.855
Co  0.139  0.139  0.530
Co  0.470  0.470  0.193
Co  0.530  0.530  0.807
Co  0.861  0.861  0.470

N(E_F): 8.8 states/eV per cell
E_form: 0.048 eV per atom
VASP energy: -8.524 eV/atom
space-group type: C2/m, No. 12

SrMnFe2 | PBEsol | relaxed

a = 3.049 Å, b = 3.049 Å, c = 6.883 Å
α = 90.00°, β = 90.00°, γ = 90.00°
Sites, in units of the cell vectors:
Sr  0.000  0.000  0.000
Mn  0.000  0.000  0.500
Fe  0.500  0.500  0.339
Fe  0.500  0.500  0.661

N(E_F): 5.7 states/eV per cell
E_form: 0.655 eV per atom
VASP energy: -6.727 eV/atom
space-group type: P4/mmm, No. 123

Al2ZnSe2S2 | PBEsol | relaxed

a = 6.218 Å, b = 3.737 Å, c = 6.779 Å
α = 90.00°, β = 90.42°, γ = 90.00°
Sites, in units of the cell vectors:
Al  0.000  0.000  0.000
Al  0.435  0.000  0.321
Zn  0.445  0.500  0.800
Se  0.598  0.000  0.990
Se  0.612  0.500  0.479
S  0.075  0.500  0.813
S  0.083  0.000  0.313

N(E_F): 0.0 states/eV per cell
E_form (uncorrected): -0.847 eV per atom
VASP energy: -4.594 eV/atom
space-group type: Pm, No. 6

BaAlCdF7 | PBEsol | relaxed

a = 7.396 Å, b = 7.396 Å, c = 14.794 Å
α = 91.91°, β = 91.91°, γ = 41.72°
Sites, in units of the cell vectors:
Ba  0.162  0.222  0.123
Ba  0.222  0.162  0.623
Ba  0.778  0.838  0.377
Ba  0.838  0.778  0.877
Al  0.109  0.136  0.876
Al  0.136  0.109  0.376
Al  0.864  0.891  0.624
Al  0.891  0.864  0.124
Cd  0.453  0.547  0.250
Cd  0.500  0.500  0.000
Cd  0.500  0.500  0.500
Cd  0.547  0.453  0.750
F  0.051  0.628  0.219
F  0.065  0.758  0.523
F  0.105  0.894  0.348
F  0.106  0.895  0.152
F  0.142  0.616  0.695
F  0.164  0.566  0.051
F  0.199  0.296  0.407
F  0.242  0.935  0.977
F  0.296  0.199  0.907
F  0.339  0.524  0.871
F  0.372  0.949  0.281
F  0.384  0.858  0.805
F  0.434  0.836  0.449
F  0.476  0.661  0.629
F  0.524  0.339  0.371
F  0.566  0.164  0.551
F  0.616  0.142  0.195
F  0.628  0.051  0.719
F  0.661  0.476  0.129
F  0.704  0.801  0.093
F  0.758  0.065  0.023
F  0.801  0.704  0.593
F  0.836  0.434  0.949
F  0.858  0.384  0.305
F  0.894  0.105  0.848
F  0.895  0.106  0.652
F  0.935  0.242  0.477
F  0.949  0.372  0.781

N(E_F): 0.0 states/eV per cell
E_form (uncorrected): -3.286 eV per atom
VASP energy: -5.379 eV/atom
space-group type: C2/c, No. 15

AlTcIr2 | PBEsol | relaxed

a = 5.184 Å, b = 5.184 Å, c = 5.184 Å
α = 148.22°, β = 130.18°, γ = 60.31°
Sites, in units of the cell vectors:
Al  0.000  0.000  0.000
Tc  0.769  0.269  0.500
Ir  0.222  0.722  0.500
Ir  0.506  0.506  0.000

N(E_F): 2.4 states/eV per cell
E_form: -0.237 eV per atom
VASP energy: -8.988 eV/atom
space-group type: Imm2, No. 44

IrRh5 | PBEsol | relaxed

a = 5.111 Å, b = 5.111 Å, c = 6.360 Å
α = 104.26°, β = 104.26°, γ = 30.54°
Sites, in units of the cell vectors:
Ir  0.000  0.000  0.000
Rh  0.056  0.056  0.611
Rh  0.335  0.335  0.668
Rh  0.391  0.391  0.278
Rh  0.667  0.667  0.333
Rh  0.722  0.722  0.945

N(E_F): 8.5 states/eV per cell
E_form: 0.031 eV per atom
VASP energy: -8.388 eV/atom
space-group type: Cm, No. 8

SrLiBi | PBEsol | relaxed

a = 8.091 Å, b = 4.884 Å, c = 8.564 Å
α = 90.00°, β = 90.00°, γ = 90.00°
Sites, in units of the cell vectors:
Sr  0.003  0.250  0.207
Sr  0.497  0.750  0.707
Sr  0.503  0.250  0.293
Sr  0.997  0.750  0.793
Li  0.159  0.250  0.576
Li  0.341  0.750  0.076
Li  0.659  0.250  0.924
Li  0.841  0.750  0.424
Bi  0.223  0.750  0.406
Bi  0.277  0.250  0.906
Bi  0.723  0.750  0.094
Bi  0.777  0.250  0.594

E_form: -0.866 eV per atom
VASP energy: -3.563 eV/atom
space-group type: Pnma, No. 62

CsPd2Cl5 | PBEsol | relaxed

a = 15.420 Å, b = 10.459 Å, c = 5.363 Å
α = 90.00°, β = 90.00°, γ = 90.00°
Sites, in units of the cell vectors:
Cs  0.238  0.250  0.090
Cs  0.262  0.750  0.590
Cs  0.738  0.250  0.410
Cs  0.762  0.750  0.910
Pd  0.048  0.584  0.268
Pd  0.048  0.916  0.268
Pd  0.452  0.084  0.768
Pd  0.452  0.416  0.768
Pd  0.548  0.584  0.232
Pd  0.548  0.916  0.232
Pd  0.952  0.084  0.732
Pd  0.952  0.416  0.732
Cl  0.009  0.750  0.019
Cl  0.085  0.082  0.530
Cl  0.085  0.418  0.530
Cl  0.181  0.572  0.091
Cl  0.181  0.928  0.091
Cl  0.319  0.072  0.591
Cl  0.319  0.428  0.591
Cl  0.415  0.582  0.030
Cl  0.415  0.918  0.030
Cl  0.491  0.250  0.519
Cl  0.509  0.750  0.481
Cl  0.585  0.082  0.970
Cl  0.585  0.418  0.970
Cl  0.681  0.572  0.409
Cl  0.681  0.928  0.409
Cl  0.819  0.072  0.909
Cl  0.819  0.428  0.909
Cl  0.915  0.582  0.470
Cl  0.915  0.918  0.470
Cl  0.991  0.250  0.981

E_form (uncorrected): -0.875 eV per atom
VASP energy: -3.737 eV/atom
space-group type: Pnma, No. 62

TlIn2Au2 | PBEsol | relaxed

a = 6.758 Å, b = 6.758 Å, c = 6.758 Å
α = 141.42°, β = 141.42°, γ = 55.71°
Sites, in units of the cell vectors:
Tl  0.000  0.000  0.000
In  0.250  0.750  0.500
In  0.750  0.250  0.500
Au  0.388  0.388  0.000
Au  0.612  0.612  0.000

N(E_F): 2.3 states/eV per cell
E_form: -0.073 eV per atom
VASP energy: -3.362 eV/atom
space-group type: I4/mmm, No. 139

Ta2AsPt | PBEsol | relaxed

a = 2.827 Å, b = 4.070 Å, c = 5.739 Å
α = 90.00°, β = 101.20°, γ = 90.00°
Sites, in units of the cell vectors:
Ta  0.073  0.000  0.253
Ta  0.927  0.000  0.747
As  0.500  0.500  0.500
Pt  0.500  0.500  0.000

N(E_F): 2.2 states/eV per cell
E_form: -0.364 eV per atom
VASP energy: -9.657 eV/atom
space-group type: P2/m, No. 10

RbAsN3 | PBEsol | relaxed

a = 3.995 Å, b = 3.995 Å, c = 3.995 Å
α = 90.00°, β = 90.00°, γ = 90.00°
Sites, in units of the cell vectors:
Rb  0.000  0.000  0.000
As  0.500  0.500  0.500
N  0.000  0.500  0.500
N  0.500  0.000  0.500
N  0.500  0.500  0.000

N(E_F): 2.3 states/eV per cell
E_form (uncorrected): 1.298 eV per atom
VASP energy: -5.045 eV/atom
space-group type: Pm-3m, No. 221

Tl3Te | PBEsol | relaxed

a = 4.918 Å, b = 4.918 Å, c = 4.930 Å
α = 90.00°, β = 90.00°, γ = 90.00°
Sites, in units of the cell vectors:
Tl  0.000  0.000  0.000
Tl  0.000  0.500  0.500
Tl  0.500  0.000  0.500
Te  0.500  0.500  0.000

N(E_F): 1.6 states/eV per cell
E_form (uncorrected): -0.174 eV per atom
VASP energy: -3.028 eV/atom
space-group type: P4/mmm, No. 123

ZrIr2Cl | PBEsol | relaxed

a = 5.294 Å, b = 5.294 Å, c = 5.294 Å
α = 138.43°, β = 138.43°, γ = 60.24°
Sites, in units of the cell vectors:
Zr  0.000  0.000  0.000
Ir  0.250  0.750  0.500
Ir  0.750  0.250  0.500
Cl  0.500  0.500  0.000

N(E_F): 4.2 states/eV per cell
E_form (uncorrected): -0.033 eV per atom
VASP energy: -7.719 eV/atom
space-group type: I4/mmm, No. 139

TaMoOs2 | PBEsol | relaxed

a = 9.364 Å, b = 9.364 Å, c = 9.364 Å
α = 16.99°, β = 16.99°, γ = 16.99°
Sites, in units of the cell vectors:
Ta  0.000  0.000  0.000
Mo  0.757  0.757  0.757
Os  0.249  0.249  0.249
Os  0.503  0.503  0.503

N(E_F): 4.1 states/eV per cell
E_form: 0.203 eV per atom
VASP energy: -11.985 eV/atom
space-group type: R3m, No. 160

Si2TeSe | PBEsol | relaxed

a = 4.265 Å, b = 3.717 Å, c = 6.221 Å
α = 90.00°, β = 109.32°, γ = 90.00°
Sites, in units of the cell vectors:
Si  0.000  0.000  0.000
Si  0.412  0.500  0.124
Te  0.849  0.000  0.369
Se  0.594  0.500  0.804

N(E_F): 0.7 states/eV per cell
E_form (uncorrected): -0.044 eV per atom
VASP energy: -4.761 eV/atom
space-group type: Pm, No. 6